1.
Computed, not measured: crystalline Cd3Se3O10 at its relaxed geometry at the PBE level of DFT.

Calculated values
crystal system	monoclinic
total DFT energy (no corrections)	-4.8682	eV/atom
formation energy without anion corrections	-1458	kJ/mol of formula units
SG	P2_1 (4)

a = 8.636 Å, b = 5.492 Å, c = 10.902 Å
α = 90.00°, β = 108.35°, γ = 90.00°
Sites, in units of the cell vectors:
Cd 0.018 0.000 0.378
Cd 0.031 0.980 0.886
Cd 0.369 0.015 0.704
Cd 0.631 0.515 0.296
Cd 0.969 0.480 0.114
Cd 0.982 0.500 0.622
Se 0.250 0.529 0.455
Se 0.262 0.453 0.927
Se 0.354 0.002 0.219
Se 0.646 0.502 0.781
Se 0.738 0.953 0.073
Se 0.750 0.029 0.545
O 0.095 0.621 0.319
O 0.114 0.344 0.991
O 0.147 0.659 0.810
O 0.152 0.306 0.520
O 0.223 0.775 0.548
O 0.231 0.150 0.285
O 0.251 0.196 0.832
O 0.256 0.838 0.090
O 0.471 0.811 0.334
O 0.477 0.204 0.178
O 0.523 0.704 0.822
O 0.529 0.311 0.666
O 0.744 0.338 0.910
O 0.749 0.696 0.168
O 0.769 0.650 0.715
O 0.777 0.275 0.452
O 0.848 0.806 0.480
O 0.853 0.159 0.190
O 0.886 0.844 0.009
O 0.905 0.121 0.681


2.
Computed, not measured: crystalline CdSeO3 at its relaxed geometry at the PBE level of DFT.

Calculated values
crystal system	orthorhombic
total DFT energy (no corrections)	-4.8416	eV/atom
formation energy without anion corrections	-476	kJ/mol of formula units
SG	Pnma (62)

a = 6.423 Å, b = 8.320 Å, c = 5.373 Å
α = 90.00°, β = 90.00°, γ = 90.00°
Sites, in units of the cell vectors:
Cd 0.000 0.000 0.000
Cd 0.000 0.500 0.000
Cd 0.500 0.000 0.500
Cd 0.500 0.500 0.500
Se 0.032 0.250 0.483
Se 0.468 0.750 0.983
Se 0.532 0.250 0.017
Se 0.968 0.750 0.517
O 0.093 0.250 0.798
O 0.176 0.088 0.368
O 0.176 0.412 0.368
O 0.324 0.588 0.868
O 0.324 0.912 0.868
O 0.407 0.750 0.298
O 0.593 0.250 0.702
O 0.676 0.088 0.132
O 0.676 0.412 0.132
O 0.824 0.588 0.632
O 0.824 0.912 0.632
O 0.907 0.750 0.202


3.
Computed, not measured: crystalline Cd3SeO at its relaxed geometry at the PBE level of DFT.

Calculated values
crystal system	cubic
total DFT energy (no corrections)	-1.6673	eV/atom
formation energy without anion corrections	275	kJ/mol of formula units
SG	Pm-3m (221)

a = 5.335 Å, b = 5.335 Å, c = 5.335 Å
α = 90.00°, β = 90.00°, γ = 90.00°
Sites, in units of the cell vectors:
Cd 0.000 0.000 0.500
Cd 0.000 0.500 0.000
Cd 0.500 0.000 0.000
Se 0.000 0.000 0.000
O 0.500 0.500 0.500


4.
Computed, not measured: crystalline Cd3SeO at its relaxed geometry at the PBE level of DFT.

Calculated values
crystal system	cubic
total DFT energy (no corrections)	-2.5130	eV/atom
formation energy without anion corrections	-133	kJ/mol of formula units
SG	Pm-3m (221)

a = 4.707 Å, b = 4.707 Å, c = 4.707 Å
α = 90.00°, β = 90.00°, γ = 90.00°
Sites, in units of the cell vectors:
Cd 0.000 0.000 0.500
Cd 0.000 0.500 0.000
Cd 0.500 0.000 0.000
Se 0.500 0.500 0.500
O 0.000 0.000 0.000


5.
Computed, not measured: crystalline CdSe2O6 at its relaxed geometry at the PBE level of DFT.

Calculated values
crystal system	monoclinic
total DFT energy (no corrections)	-4.8434	eV/atom
formation energy without anion corrections	-575	kJ/mol of formula units
SG	C2/c (15)

a = 7.047 Å, b = 7.047 Å, c = 6.835 Å
α = 109.46°, β = 109.46°, γ = 81.64°
Sites, in units of the cell vectors:
Cd 0.097 0.903 0.750
Cd 0.903 0.097 0.250
Se 0.233 0.378 0.761
Se 0.378 0.233 0.261
Se 0.622 0.767 0.739
Se 0.767 0.622 0.239
O 0.061 0.193 0.636
O 0.098 0.595 0.797
O 0.193 0.061 0.136
O 0.347 0.370 0.520
O 0.370 0.347 0.020
O 0.405 0.902 0.703
O 0.595 0.098 0.297
O 0.630 0.653 0.980
O 0.653 0.630 0.480
O 0.807 0.939 0.864
O 0.902 0.405 0.203
O 0.939 0.807 0.364


6.
Computed, not measured: crystalline CdSeO3 at its relaxed geometry at the PBE level of DFT.

Calculated values
crystal system	cubic
total DFT energy (no corrections)	-3.2512	eV/atom
formation energy without anion corrections	291	kJ/mol of formula units
SG	Pm-3m (221)

a = 4.086 Å, b = 4.086 Å, c = 4.086 Å
α = 90.00°, β = 90.00°, γ = 90.00°
Sites, in units of the cell vectors:
Cd 0.000 0.000 0.000
Se 0.500 0.500 0.500
O 0.000 0.000 0.500
O 0.000 0.500 0.000
O 0.500 0.000 0.000


- What is the formation energy without anion corrections in the second record?
  -476 kJ/mol of formula units


- Look up the total DFT energy (no corrections) of the first one.
  -4.8682 eV/atom